## MnFePdPt (PBE)

Data for a geometry-optimized MnFePdPt structure.

Cell and atoms, written as POSCAR:
```
MnFePdPt
1.0
3.9920 0.0023 0.0000
0.0003 3.9920 0.0000
-1.9961 -1.9971 3.6459
Fe Mn Pd Pt
1 1 1 1
Direct
0.2500 0.7500 0.5000
0.7500 0.2500 0.5000
0.0000 0.0000 0.0000
0.5000 0.5000 0.0000
```

E_form (eV per formula unit): -0.711
Magnetization (Bohr magnetons per cell): 7.788

---

## RbBaCl (PBE)

Data for a geometry-optimized RbBaCl structure.

Cell and atoms, written as POSCAR:
```
RbBaCl
1.0
5.2326 0.0000 0.0000
0.0000 5.2326 0.0000
0.0000 0.0000 13.3054
Cl Ba Rb
2 2 2
Direct
0.0000 0.0000 0.0000
0.5000 0.5000 0.0000
0.0000 0.5000 0.8678
0.5000 0.0000 0.1322
0.0000 0.5000 0.3833
0.5000 0.0000 0.6167
```

Uncorrected formation energy (eV per atom): -1.150
Energy above the lowest structure with this stoichiometry (meV/atom): 0.0
Magnetization (Bohr magnetons per cell): 0.000

---

## Tl2FeSe (PBE)

Data for a geometry-optimized Tl2FeSe structure.

Cell and atoms, written as POSCAR:
```
Tl2FeSe
1.0
6.4383 0.0000 0.0000
0.0000 6.4383 0.0000
3.2192 3.2192 6.3446
Fe Tl Se
2 4 2
Direct
0.2500 0.7500 0.5000
0.5000 0.5000 0.0000
0.3750 0.4018 0.7500
0.1518 0.6250 0.2500
0.5982 0.1250 0.2500
0.8750 0.8482 0.7500
0.0000 0.0000 0.0000
0.7500 0.2500 0.5000
```

Uncorrected formation energy (eV per atom): 0.528
Energy above the lowest structure with this stoichiometry (meV/atom): 439.7
Magnetization (Bohr magnetons per cell): 5.747

---

## CoS3Cl (PBE)

Data for a geometry-optimized CoS3Cl structure.

Cell and atoms, written as POSCAR:
```
CoS3Cl
1.0
4.4327 0.0000 0.0000
0.0000 4.4327 0.0000
0.0000 0.0000 4.4327
Co Cl S
1 1 3
Direct
0.0000 0.0000 0.0000
0.5000 0.5000 0.5000
0.0000 0.5000 0.0000
0.0000 0.0000 0.5000
0.5000 0.0000 0.0000
```

Uncorrected formation energy (eV per atom): 0.600
Energy above the lowest structure with this stoichiometry (meV/atom): 791.5
Magnetization (Bohr magnetons per cell): 0.003

---

## SmYHo2Tm5 (PBE)

Data for a geometry-optimized SmYHo2Tm5 structure.

Cell and atoms, written as POSCAR:
```
SmYHo2Tm5
1.0
-4.0966 -7.3687 -2.8054
7.3057 -2.3583 -4.4739
0.8082 1.3089 9.4531
Tm Y Ho Sm
10 2 4 2
Direct
0.5000 0.5000 0.0000
0.1636 0.0742 0.7377
0.0742 0.5742 0.7377
0.8364 0.9258 0.2623
0.6636 0.1636 0.7377
0.5742 0.6636 0.7377
0.0000 0.0000 0.0000
0.3364 0.8364 0.2623
0.4258 0.3364 0.2623
0.9258 0.4258 0.2623
0.7500 0.2500 0.5000
0.2500 0.7500 0.5000
0.8880 0.6120 0.0000
0.3880 0.8880 0.0000
0.6120 0.1120 0.0000
0.1120 0.3880 0.0000
0.2500 0.2500 0.5000
0.7500 0.7500 0.5000
```

E_form (eV per formula unit): 2.664
Magnetization (Bohr magnetons per cell): 0.001

---

## CuTc4 (PBE)

Data for a geometry-optimized CuTc4 structure.

Cell and atoms, written as POSCAR:
```
CuTc4
1.0
-1.9667 1.9667 5.4931
1.9667 -1.9667 5.4931
1.9667 1.9667 -5.4931
Tc Cu
4 1
Direct
0.7500 0.2500 0.5000
0.2500 0.7500 0.5000
0.6088 0.6088 0.0000
0.3912 0.3912 0.0000
0.0000 0.0000 0.0000
```

Energy above the lowest structure with this stoichiometry (meV/atom): 532.9
E_form (eV per formula unit): 3.275
Magnetization (Bohr magnetons per cell): 0.000

---

## La3TbTe4 (PBE)

Data for a geometry-optimized La3TbTe4 structure.

Cell and atoms, written as POSCAR:
```
La3TbTe4
1.0
-0.1493 5.5344 5.5785
-1.5698 -7.0067 3.2616
8.7663 -1.2688 1.4935
Te La Tb
8 6 2
Direct
0.5058 0.7555 0.6305
0.0058 0.7555 0.3695
0.9997 0.7606 0.8808
0.4997 0.7606 0.1192
0.5003 0.2394 0.8808
0.0003 0.2394 0.1192
0.4942 0.2445 0.3695
0.9942 0.2445 0.6305
0.2500 0.5000 0.8741
0.7500 0.5000 0.6241
0.7500 0.5000 0.1259
0.2500 0.5000 0.3759
0.7500 0.0000 0.3750
0.2500 0.0000 0.6250
0.2500 0.0000 0.1260
0.7500 0.0000 0.8740
```

Uncorrected formation energy (eV per atom): -1.523
Energy above the lowest structure with this stoichiometry (meV/atom): 0.0
Magnetization (Bohr magnetons per cell): 0.000

---

## Re2Au (PBE)

Data for a geometry-optimized Re2Au structure.

Cell and atoms, written as POSCAR:
```
Re2Au
1.0
0.0000 3.7004 3.7004
3.7004 0.0000 3.7004
3.7004 3.7004 0.0000
Re Au
4 2
Direct
0.1250 0.6250 0.1250
0.1250 0.1250 0.1250
0.6250 0.1250 0.1250
0.1250 0.1250 0.6250
0.5000 0.5000 0.5000
0.7500 0.7500 0.7500
```

Energy above the lowest structure with this stoichiometry (meV/atom): 541.1
E_form (eV per formula unit): 2.281
Magnetization (Bohr magnetons per cell): 0.000